The following is a DFT calculation (GGA-PBE) of a geometry-optimized NpVPt structure.

Computed properties:
Its density of states at the Fermi level is 1.76 states/eV per atom. As for the formation enthalpy at 0 K: -0.06 eV/atom. As for the crystal system: monoclinic.

Structure (CIF):
```
data_NpVPt
_chemical_formula_sum 'Np2 V2 Pt2'
_symmetry_space_group_name_H-M 'P 1'
_symmetry_Int_Tables_number 1
_cell_length_a 4.0789
_cell_length_b 4.0852
_cell_length_c 8.5692
_cell_angle_alpha 118.53
_cell_angle_beta 90.00
_cell_angle_gamma 119.95
loop_
_symmetry_equiv_pos_as_xyz
'x,y,z'
loop_
_atom_site_label
_atom_site_fract_x
_atom_site_fract_y
_atom_site_fract_z
Np1 0.8844 0.7688 0.0767
Np2 0.1156 0.2312 0.9233
Pt1 0.2370 0.4740 0.6057
Pt2 0.7630 0.5260 0.3943
V1 0.3798 0.7595 0.3190
V2 0.6202 0.2405 0.6810
```